1.
# PBE Sc4ZnPt2Rh, relaxed
# Calculated formation energy in kJ per mole of atoms: -95
data_Sc4ZnPt2Rh
_chemical_formula_sum 'Sc12 Zn3 Pt6 Rh3'
_space_group_name_H-M_alt 'R -3 m'
_space_group_IT_number 166
_space_group_name_Hall '-R 3 2"'
_cell_length_a 4.6449
_cell_length_b 4.6449
_cell_length_c 22.9125
_cell_angle_alpha 90.00
_cell_angle_beta 90.00
_cell_angle_gamma 120.00
loop_
_atom_site_label
_atom_site_fract_x
_atom_site_fract_y
_atom_site_fract_z
Sc1 0.0000 0.0000 0.1225
Sc2 0.0000 0.0000 0.3730
Zn1 0.0000 0.0000 0.5000
Pt1 0.0000 0.0000 0.2500
Rh1 0.0000 0.0000 0.0000

---

2.
# PBE PtRhSe2, relaxed
# Raw formation energy in meV per atom: 338
data_PtRhSe2
_chemical_formula_sum 'Pt1 Rh1 Se2'
_space_group_name_H-M_alt 'P m m m'
_space_group_IT_number 47
_cell_length_a 3.134
_cell_length_b 4.314
_cell_length_c 5.011
_cell_angle_alpha 90.00
_cell_angle_beta 90.00
_cell_angle_gamma 90.00
loop_
_space_group_symop_operation_xyz
'x,y,z'
'-x,-y,-z'
'-x,-y,z'
'x,y,-z'
'x,-y,-z'
'-x,y,z'
'-x,y,-z'
'x,-y,z'
loop_
_atom_site_label
_atom_site_fract_x
_atom_site_fract_y
_atom_site_fract_z
Pt1 0.000 0.000 0.000
Rh1 0.500 0.000 0.500
Se1 0.000 0.500 0.500
Se2 0.500 0.500 0.000

---

3.
# PBE Pt2RhSe, relaxed
# Raw formation energy in meV per atom: 129
data_Pt2RhSe
_chemical_formula_sum 'Pt4 Rh2 Se2'
_space_group_name_H-M_alt 'C 1 m 1'
_space_group_IT_number 8
_cell_length_a 8.856
_cell_length_b 3.157
_cell_length_c 4.863
_cell_angle_alpha 90.00
_cell_angle_beta 107.65
_cell_angle_gamma 90.00
loop_
_space_group_symop_operation_xyz
'x,y,z'
'x,-y,z'
'x+1/2,y+1/2,z'
'x+1/2,-y+1/2,z'
loop_
_atom_site_label
_atom_site_fract_x
_atom_site_fract_y
_atom_site_fract_z
Pt1 0.000 0.000 0.000
Pt2 0.243 0.000 0.770
Rh1 0.269 0.500 0.286
Se1 0.021 0.500 0.443

---

4.
# PBE Pt2RhSe, relaxed
# Raw formation energy in meV per atom: 197
data_Pt2RhSe
_chemical_formula_sum 'Pt2 Rh1 Se1'
_space_group_name_H-M_alt 'P m m m'
_space_group_IT_number 47
_cell_length_a 2.928
_cell_length_b 3.875
_cell_length_c 5.612
_cell_angle_alpha 90.00
_cell_angle_beta 90.00
_cell_angle_gamma 90.00
loop_
_space_group_symop_operation_xyz
'x,y,z'
'-x,-y,-z'
'-x,-y,z'
'x,y,-z'
'x,-y,-z'
'-x,y,z'
'-x,y,-z'
'x,-y,z'
loop_
_atom_site_label
_atom_site_fract_x
_atom_site_fract_y
_atom_site_fract_z
Pt1 0.000 0.000 0.245
Rh1 0.500 0.500 0.000
Se1 0.500 0.500 0.500

---

5.
# PBE PtRhSe2, relaxed
# Raw formation energy in meV per atom: 152
data_PtRhSe2
_chemical_formula_sum 'Pt2 Rh2 Se4'
_space_group_name_H-M_alt 'I m m 2'
_space_group_IT_number 44
_cell_length_a 3.043
_cell_length_b 4.566
_cell_length_c 9.743
_cell_angle_alpha 90.00
_cell_angle_beta 90.00
_cell_angle_gamma 90.00
loop_
_space_group_symop_operation_xyz
'x,y,z'
'-x,-y,z'
'-x,y,z'
'x,-y,z'
'x+1/2,y+1/2,z+1/2'
'-x+1/2,-y+1/2,z+1/2'
'-x+1/2,y+1/2,z+1/2'
'x+1/2,-y+1/2,z+1/2'
loop_
_atom_site_label
_atom_site_fract_x
_atom_site_fract_y
_atom_site_fract_z
Pt1 0.000 0.000 0.000
Rh1 0.000 0.500 0.752
Se1 0.000 0.000 0.467
Se2 0.000 0.500 0.260

---

6.
# PBE PtRh2Se, relaxed
# Raw formation energy in meV per atom: 225
data_PtRh2Se
_chemical_formula_sum 'Pt2 Rh4 Se2'
_space_group_name_H-M_alt 'I -4 m 2'
_space_group_IT_number 119
_space_group_name_Hall 'I -4 -2'
_cell_length_a 3.970
_cell_length_b 3.970
_cell_length_c 7.870
_cell_angle_alpha 90.00
_cell_angle_beta 90.00
_cell_angle_gamma 90.00
loop_
_atom_site_label
_atom_site_fract_x
_atom_site_fract_y
_atom_site_fract_z
Pt1 0.000 0.000 0.000
Rh1 0.000 0.000 0.500
Rh2 0.000 0.500 0.750
Se1 0.000 0.500 0.250

---

7.
# PBE PtRhSe4, relaxed
# Raw formation energy in meV per atom: -397
# ΔE to the lowest computed polymorph in meV per atom: 1
data_PtRhSe4
_chemical_formula_sum 'Pt2 Rh2 Se8'
_space_group_name_H-M_alt 'C 1 2/m 1'
_space_group_IT_number 12
_cell_length_a 12.051
_cell_length_b 3.751
_cell_length_c 6.530
_cell_angle_alpha 90.00
_cell_angle_beta 122.69
_cell_angle_gamma 90.00
loop_
_space_group_symop_operation_xyz
'x,y,z'
'-x,-y,-z'
'-x,y,-z'
'x,-y,z'
'x+1/2,y+1/2,z'
'-x+1/2,-y+1/2,-z'
'-x+1/2,y+1/2,-z'
'x+1/2,-y+1/2,z'
loop_
_atom_site_label
_atom_site_fract_x
_atom_site_fract_y
_atom_site_fract_z
Pt1 0.000 0.000 0.000
Rh1 0.000 0.500 0.500
Se1 0.126 0.000 0.462
Se2 0.126 0.500 0.954

---

8.
# PBE PtRh3Se, relaxed
# Raw formation energy in meV per atom: 741
# ΔE to the lowest computed polymorph in meV per atom: 0
data_PtRh3Se
_chemical_formula_sum 'Pt1 Rh3 Se1'
_space_group_name_H-M_alt 'P m -3 m'
_space_group_IT_number 221
_space_group_name_Hall '-P 4 2 3'
_cell_length_a 4.509
_cell_length_b 4.509
_cell_length_c 4.509
_cell_angle_alpha 90.00
_cell_angle_beta 90.00
_cell_angle_gamma 90.00
loop_
_atom_site_label
_atom_site_fract_x
_atom_site_fract_y
_atom_site_fract_z
Pt1 0.000 0.000 0.000
Rh1 0.000 0.500 0.500
Se1 0.500 0.500 0.500

---

9.
# PBE PtRh2Se, relaxed
# Raw formation energy in meV per atom: 55
data_PtRh2Se
_chemical_formula_sum 'Pt3 Rh6 Se3'
_space_group_name_H-M_alt 'R -3 m'
_space_group_IT_number 166
_space_group_name_Hall '-R 3 2"'
_cell_length_a 2.9127
_cell_length_b 2.9127
_cell_length_c 25.0479
_cell_angle_alpha 90.00
_cell_angle_beta 90.00
_cell_angle_gamma 120.00
loop_
_atom_site_label
_atom_site_fract_x
_atom_site_fract_y
_atom_site_fract_z
Pt1 0.0000 0.0000 0.0000
Rh1 0.0000 0.0000 0.2432
Se1 0.0000 0.0000 0.5000

---

10.
# PBE PtRh2Se, relaxed
# Raw formation energy in meV per atom: 146
data_PtRh2Se
_chemical_formula_sum 'Pt1 Rh2 Se1'
_space_group_name_H-M_alt 'P 4 m m'
_space_group_IT_number 99
_cell_length_a 2.903
_cell_length_b 2.903
_cell_length_c 7.381
_cell_angle_alpha 90.00
_cell_angle_beta 90.00
_cell_angle_gamma 90.00
loop_
_space_group_symop_operation_xyz
'x,y,z'
'-y,x,z'
'-x,-y,z'
'y,-x,z'
'-x,y,z'
'y,x,z'
'x,-y,z'
'-y,-x,z'
loop_
_atom_site_label
_atom_site_fract_x
_atom_site_fract_y
_atom_site_fract_z
Pt1 0.000 0.000 0.000
Rh1 0.000 0.000 0.504
Rh2 0.500 0.500 0.251
Se1 0.500 0.500 0.721

---

11.
# PBE Pt2RhSe, relaxed
# Raw formation energy in meV per atom: 265
data_Pt2RhSe
_chemical_formula_sum 'Pt4 Rh2 Se2'
_space_group_name_H-M_alt 'C m m m'
_space_group_IT_number 65
_space_group_name_Hall '-C 2 2'
_cell_length_a 2.785
_cell_length_b 4.902
_cell_length_c 9.490
_cell_angle_alpha 90.00
_cell_angle_beta 90.00
_cell_angle_gamma 90.00
loop_
_atom_site_label
_atom_site_fract_x
_atom_site_fract_y
_atom_site_fract_z
Pt1 0.000 0.000 0.243
Rh1 0.000 0.500 0.000
Se1 0.000 0.500 0.500

---

12.
# PBE PtRh2Se, relaxed
# Raw formation energy in meV per atom: 114
data_PtRh2Se
_chemical_formula_sum 'Pt1 Rh2 Se1'
_space_group_name_H-M_alt 'P m m 2'
_space_group_IT_number 25
_cell_length_a 2.865
_cell_length_b 3.867
_cell_length_c 5.676
_cell_angle_alpha 90.00
_cell_angle_beta 90.00
_cell_angle_gamma 90.00
loop_
_space_group_symop_operation_xyz
'x,y,z'
'-x,-y,z'
'-x,y,z'
'x,-y,z'
loop_
_atom_site_label
_atom_site_fract_x
_atom_site_fract_y
_atom_site_fract_z
Pt1 0.000 0.000 0.000
Rh1 0.000 0.000 0.491
Rh2 0.500 0.500 0.230
Se1 0.500 0.500 0.666

---

Number 1: DOS at the Fermi energy 0.47 states/eV/atom. Number 2: DOS at the Fermi energy 0.98 states/eV/atom. Number 3: DOS at the Fermi energy 0.87 states/eV/atom. Number 4: DOS at the Fermi energy 1.34 states/eV/atom. Number 5: DOS at the Fermi energy 0.49 states/eV/atom. Number 6: DOS at the Fermi energy 1.45 states/eV/atom. Number 7: DOS at the Fermi energy 0.31 states/eV/atom. Number 8: DOS at the Fermi energy 2.64 states/eV/atom. Number 9: DOS at the Fermi energy 1.04 states/eV/atom. Number 10: DOS at the Fermi energy 1.40 states/eV/atom. Number 11: DOS at the Fermi energy 1.13 states/eV/atom. Number 12: DOS at the Fermi energy 1.34 states/eV/atom.